Ac6GeIr2Cl3: relaxed, PBE.

abc: 4.407 9.390 10.283
angles: 106.10 102.37 90.00
Sites, in units of the cell vectors:
Cl 0.500 0.500 0.000
Ac 0.678 0.557 0.355
Ac 0.663 0.119 0.327
Ir 0.831 0.663 0.663
Ac 0.322 0.443 0.645
Ac 0.337 0.881 0.673
Cl 0.155 0.837 0.311
Ac 0.984 0.756 0.968
Cl 0.845 0.163 0.689
Ac 0.016 0.244 0.032
Ge 0.500 0.000 0.000
Ir 0.169 0.337 0.337

Output
Space group: C2/m (12)



Ac6Ge2IrCl3: relaxed, PBE.

abc: 4.488 9.150 9.951
angles: 100.81 103.03 90.00
Sites, in units of the cell vectors:
Ac 0.329 0.423 0.659
Cl 0.181 0.848 0.361
Ge 0.163 0.340 0.325
Cl 0.819 0.152 0.639
Ac 0.999 0.225 0.998
Ac 0.652 0.096 0.304
Ac 0.671 0.577 0.341
Ge 0.837 0.660 0.675
Cl 0.500 0.500 0.000
Ir 0.500 0.000 0.000
Ac 0.348 0.904 0.696
Ac 0.001 0.775 0.002

Output
Space group: C2/m (12)



AcNdGeCl: relaxed, PBE.

abc: 5.326 5.326 5.326
angles: 60.00 60.00 60.00
Sites, in units of the cell vectors:
Ge 0.750 0.750 0.750
Cl 0.250 0.250 0.250
Nd 0.000 0.000 0.000
Ac 0.500 0.500 0.500

Output
Space group: F-43m (216)



AcNdGeCl: relaxed, PBE.

abc: 5.115 5.169 6.155
angles: 90.00 90.00 119.66
Sites, in units of the cell vectors:
Ge 0.169 0.338 0.000
Nd 0.838 0.676 0.000
Cl 0.837 0.674 0.500
Ac 0.168 0.336 0.500

Output
Space group: Amm2 (38)



Ac3GeCl2O6: relaxed, PBE.

abc: 5.778 7.158 6.968
angles: 120.91 84.70 90.00
Site moments in Bohr magnetons follow the coordinates.
Sites, in units of the cell vectors:
O 0.646 0.858 0.715  0.00
O 0.354 0.142 0.285  0.00
Ac 0.500 0.000 0.500  -0.01
O 0.306 0.708 0.898  0.21
Ge 0.500 0.000 0.000  -0.01
O 0.694 0.292 0.102  0.21
Cl 0.100 0.731 0.463  0.00
Ac 0.500 0.500 0.500  -0.01
O 0.694 0.810 0.102  0.21
Ac 0.000 0.500 0.000  -0.01
Cl 0.900 0.269 0.537  0.00
O 0.306 0.190 0.898  0.21

Output
Space group: C2/m (12)



Ac8GeOs3Cl4: relaxed, PBE.

abc: 8.821 9.321 8.821
angles: 118.24 120.00 90.00
Sites, in units of the cell vectors:
Ac 0.242 0.701 0.484
Os 0.000 0.500 0.500
Ge 0.000 0.500 0.000
Cl 0.500 0.000 0.500
Os 0.500 0.500 0.000
Cl 0.000 0.000 0.500
Cl 0.500 0.000 0.000
Cl 0.000 0.000 0.000
Ac 0.283 0.298 0.041
Os 0.500 0.500 0.500
Ac 0.717 0.702 0.959
Ac 0.758 0.299 0.516
Ac 0.263 0.288 0.525
Ac 0.758 0.298 0.041
Ac 0.737 0.712 0.475
Ac 0.242 0.702 0.959

Output
Space group: R-3m (166)



Ac6Ge2PCl3: relaxed, PBE.

abc: 4.533 8.852 9.963
angles: 101.11 103.15 90.00
Sites, in units of the cell vectors:
Ge 0.835 0.668 0.670
Ac 0.658 0.088 0.317
Ac 0.002 0.232 0.004
Cl 0.500 0.500 0.000
P 0.500 0.000 0.000
Cl 0.172 0.837 0.343
Ac 0.330 0.426 0.660
Ac 0.998 0.768 0.996
Ge 0.165 0.332 0.330
Ac 0.342 0.912 0.683
Cl 0.828 0.163 0.657
Ac 0.670 0.574 0.340

Output
Space group: C2/m (12)



Ac6Ge2P3Cl: relaxed, PBE.

abc: 4.451 9.081 10.065
angles: 103.38 102.78 90.00
Sites, in units of the cell vectors:
Ge 0.163 0.325 0.325
Ac 0.667 0.587 0.333
Ac 0.333 0.413 0.667
Ac 0.999 0.268 0.998
Ac 0.328 0.920 0.657
P 0.837 0.165 0.673
Ge 0.837 0.675 0.675
Cl 0.500 0.000 0.000
P 0.500 0.500 0.000
P 0.163 0.835 0.327
Ac 0.001 0.732 0.002
Ac 0.672 0.080 0.343

Output
Space group: C2/m (12)



Ac6GeP2Cl3: relaxed, PBE.

abc: 4.467 8.840 9.899
angles: 102.01 103.04 90.00
Sites, in units of the cell vectors:
Cl 0.163 0.830 0.327
Ac 0.664 0.100 0.328
Cl 0.837 0.170 0.673
Ac 0.336 0.900 0.672
Ge 0.500 0.000 0.000
Cl 0.500 0.500 0.000
Ac 0.328 0.431 0.655
P 0.168 0.335 0.337
Ac 0.992 0.756 0.985
Ac 0.008 0.244 0.015
P 0.832 0.665 0.663
Ac 0.672 0.569 0.345

Output
Space group: C2/m (12)



Ac4GePCl2: relaxed, PBE.

abc: 4.498 7.645 7.782
angles: 70.05 90.00 90.00
Sites, in units of the cell vectors:
Ac 0.500 0.730 0.250
P 0.500 0.500 0.000
Ac 0.000 0.274 0.236
Cl 0.500 0.000 0.500
Ge 0.000 0.500 0.500
Cl 0.000 0.000 0.000
Ac 0.000 0.726 0.764
Ac 0.500 0.270 0.750

Output
Space group: P2/m (10)



Ac4Ge2PCl: relaxed, PBE.

abc: 6.367 6.367 7.815
angles: 114.04 114.04 90.00
Sites, in units of the cell vectors:
Ac 0.937 0.437 0.000
Ge 0.687 0.187 0.500
Ge 0.187 0.687 0.500
Cl 0.437 0.437 0.000
Ac 0.698 0.698 0.522
P 0.937 0.937 0.000
Ac 0.176 0.176 0.478
Ac 0.437 0.937 0.000

Output
Space group: I4/mmm (139)



Ac8Ge3PCl4: relaxed, PBE.

abc: 9.111 8.851 9.112
angles: 120.99 120.00 90.00
Sites, in units of the cell vectors:
Cl 0.500 0.000 0.000
Ge 0.500 0.500 0.500
Ac 0.745 0.735 0.490
Ac 0.759 0.270 0.518
Ge 0.000 0.500 0.500
Ac 0.241 0.730 0.990
Ge 0.500 0.500 0.000
Cl 0.000 0.000 0.000
Ac 0.241 0.730 0.482
Ac 0.759 0.270 0.010
Ac 0.251 0.270 0.010
P 0.000 0.500 0.000
Ac 0.749 0.730 0.990
Ac 0.255 0.265 0.510
Cl 0.500 0.000 0.500
Cl 0.000 0.000 0.500

Output
Space group: R-3m (166)



Ac4GePbCl2: relaxed, PBE.

abc: 4.713 7.510 8.248
angles: 68.68 90.00 90.00
Sites, in units of the cell vectors:
Cl 0.500 0.000 0.500
Ac 0.000 0.251 0.266
Pb 0.500 0.500 0.000
Ac 0.500 0.258 0.735
Ac 0.000 0.749 0.734
Ac 0.500 0.742 0.265
Ge 0.000 0.500 0.500
Cl 0.000 0.000 0.000

Output
Space group: P2/m (10)



Ac3GePbCl: relaxed, PBE.

abc: 4.596 8.062 11.937
angles: 100.71 90.00 90.00
Sites, in units of the cell vectors:
Cl 0.250 0.111 0.622
Ac 0.250 0.725 0.491
Ac 0.250 0.466 0.848
Ge 0.750 0.232 0.928
Ac 0.750 0.275 0.509
Pb 0.250 0.342 0.313
Ac 0.250 0.955 0.852
Ac 0.750 0.045 0.148
Pb 0.750 0.658 0.687
Ac 0.750 0.534 0.152
Ge 0.250 0.768 0.072
Cl 0.750 0.889 0.378

Output
Space group: P2_1/m (11)



Ac4GePdCl2: relaxed, PBE.

abc: 4.449 7.528 8.104
angles: 71.19 90.00 90.00
Sites, in units of the cell vectors:
Pd 0.500 0.500 0.000
Ac 0.500 0.739 0.256
Ac 0.500 0.261 0.744
Ac 0.000 0.726 0.766
Cl 0.500 0.000 0.500
Cl 0.000 0.000 0.000
Ac 0.000 0.274 0.234
Ge 0.000 0.500 0.500

Output
Space group: P2/m (10)



AcPmGeCl: relaxed, PBE.

abc: 4.502 4.502 15.957
angles: 81.89 81.89 60.00
Sites, in units of the cell vectors:
Pm 0.804 0.804 0.589
Ge 0.500 0.500 0.500
Cl 0.743 0.743 0.770
Cl 0.257 0.257 0.230
Ac 0.369 0.369 0.892
Ac 0.631 0.631 0.108
Pm 0.196 0.196 0.411
Ge 0.000 0.000 0.000

Output
Space group: R-3m (166)



AcPmGeCl: relaxed, PBE.

abc: 5.310 5.310 5.310
angles: 60.00 60.00 60.00
Sites, in units of the cell vectors:
Ge 0.250 0.250 0.250
Cl 0.750 0.750 0.750
Pm 0.000 0.000 0.000
Ac 0.500 0.500 0.500

Output
Space group: F-43m (216)



Ac3GePtCl: relaxed, PBE.

abc: 4.480 8.907 10.086
angles: 105.43 90.00 90.00
Sites, in units of the cell vectors:
Ac 0.750 0.431 0.159
Ac 0.250 0.100 0.873
Ac 0.250 0.731 0.508
Pt 0.250 0.664 0.154
Ac 0.250 0.569 0.841
Cl 0.750 0.896 0.414
Ac 0.750 0.269 0.492
Ge 0.250 0.183 0.224
Ac 0.750 0.900 0.127
Ge 0.750 0.817 0.776
Cl 0.250 0.104 0.586
Pt 0.750 0.336 0.846

Output
Space group: P2_1/m (11)



Ac4GePt2Cl: relaxed, PBE.

abc: 6.260 6.260 7.812
angles: 113.63 113.63 89.99
Sites, in units of the cell vectors:
Cl 0.437 0.437 0.000
Ac 0.437 0.937 0.000
Pt 0.187 0.687 0.500
Ac 0.937 0.437 0.000
Pt 0.687 0.187 0.500
Ge 0.937 0.937 0.000
Ac 0.695 0.695 0.517
Ac 0.179 0.179 0.483

Output
Space group: I4/mmm (139)



Ac6Ge2PtCl3: relaxed, PBE.

abc: 4.530 9.026 9.919
angles: 99.59 103.20 90.00
Sites, in units of the cell vectors:
Ge 0.836 0.663 0.672
Ac 0.000 0.767 0.999
Cl 0.824 0.159 0.648
Ac 0.658 0.095 0.315
Ac 0.342 0.905 0.685
Ac 0.000 0.233 0.001
Ac 0.330 0.424 0.661
Pt 0.500 0.000 0.000
Ge 0.164 0.337 0.328
Cl 0.176 0.841 0.352
Cl 0.500 0.500 0.000
Ac 0.670 0.576 0.339

Output
Space group: C2/m (12)



| no. | volume (Å³/f.u.) | total energy (eV for the cell shown) |
| --- | --- | --- |
| 1 | 399 | -67.57 |
| 2 | 391 | -62.92 |
| 3 | 107 | -19.61 |
| 4 | 141 | -19.14 |
| 5 | 246 | -75.97 |
| 6 | 526 | -93.23 |
| 7 | 382 | -61.06 |
| 8 | 385 | -67.15 |
| 9 | 372 | -63.15 |
| 10 | 252 | -41.39 |
| 11 | 259 | -42.39 |
| 12 | 512 | -80.66 |
| 13 | 272 | -37.51 |
| 14 | 217 | -56.42 |
| 15 | 257 | -39.32 |
| 16 | 138 | -40.16 |
| 17 | 106 | -19.56 |
| 18 | 194 | -62.34 |
| 19 | 252 | -43.87 |
| 20 | 389 | -60.76 |